DFT (PBE) results for Sm2PuMoN5 after structural relaxation.

abc: 3.4939 7.1481 10.3310
angles: 90.00 90.00 104.15
Closest atoms and distances in Å follow each position.
Positions (direct):
Sm (0.1089, 0.2177, 0.6832)  6 N 2.43-2.62
Sm (0.8911, 0.7823, 0.1832)  6 N 2.43-2.62
N (0.6792, 0.3583, 0.8821)  2 Pu 2.24, 1 Mo 2.30
Sm (0.8581, 0.7162, 0.8043)  7 N 2.53-2.72
Pu (0.2087, 0.4174, 0.0113)  6 N 2.24-2.35
N (0.0408, 0.0817, 0.0424)  2 Mo 1.97
N (0.6290, 0.2579, 0.5051)  1 Mo 2.17, 1 Pu 2.25
N (0.3209, 0.6417, 0.3821)  2 Pu 2.24, 1 Mo 2.30
N (0.2832, 0.5663, 0.6543)  2 Pu 2.29, 3 Sm 2.43-2.56
N (0.9592, 0.9183, 0.5424)  2 Mo 1.97
Sm (0.1419, 0.2838, 0.3043)  7 N 2.53-2.72
N (0.5109, 0.0218, 0.2837)  1 Mo 1.86
Mo (0.5233, 0.0467, 0.9576)  3 N 1.86-1.97
N (0.3710, 0.7421, 0.0051)  1 Mo 2.17, 1 Pu 2.25
Pu (0.7913, 0.5826, 0.5113)  6 N 2.24-2.35
N (0.7168, 0.4337, 0.1543)  2 Pu 2.29, 3 Sm 2.43-2.56
Mo (0.4767, 0.9533, 0.4576)  3 N 1.86-1.97
N (0.4891, 0.9782, 0.7837)  1 Mo 1.86

Summary:
Space-group type: No. 36
ΔE_f (raw): -1071 meV per atom
DOS at the Fermi energy: 12.7 states/eV/cell

***

DFT (PBE) results for SrPu2MoN4 after structural relaxation.

abc: 3.4713 6.2929 12.0581
angles: 90.00 90.00 106.01
Closest atoms and distances in Å follow each position.
Positions (direct):
N (0.7423, 0.4847, 0.8855)  1 Mo 1.94
Sr (0.9075, 0.8149, 0.2500)  6 N 2.72-2.99
Pu (0.3703, 0.7406, 0.5408)  6 N 2.32-2.59
N (0.5806, 0.1612, 0.2500)  2 Mo 2.05
Mo (0.1706, 0.3412, 0.2500)  4 N 1.94-2.05
N (0.2577, 0.5153, 0.1145)  1 Mo 1.94
N (0.0000, 0.0000, 0.5000)  4 Pu 2.39
Pu (0.6297, 0.2594, 0.0408)  6 N 2.32-2.59
N (0.2577, 0.5153, 0.3855)  1 Mo 1.94
N (0.7423, 0.4847, 0.6145)  1 Mo 1.94
Pu (0.3703, 0.7406, 0.9592)  6 N 2.32-2.59
Pu (0.6297, 0.2594, 0.4592)  6 N 2.32-2.59
N (0.0000, 0.0000, 0.0000)  4 Pu 2.39
Mo (0.8294, 0.6588, 0.7500)  4 N 1.94-2.05
N (0.4194, 0.8388, 0.7500)  2 Mo 2.05
Sr (0.0925, 0.1851, 0.7500)  6 N 2.72-2.99

Summary:
Space-group type: No. 63
ΔE_f (raw): -883 meV per atom
DOS at the Fermi energy: 25.9 states/eV/cell

***

DFT (PBE) results for SrPuMoN3 after structural relaxation.

abc: 3.5406 7.5325 7.9880
angles: 97.52 90.00 90.00
Closest atoms and distances in Å follow each position.
Positions (direct):
Sr (0.7500, 0.8313, 0.8233)  5 N 2.68-2.86
Mo (0.7500, 0.8997, 0.4043)  4 N 1.92-2.07
N (0.2500, 0.8295, 0.5058)  3 Mo 2.05-2.07
Mo (0.2500, 0.1003, 0.5957)  4 N 1.92-2.07
Pu (0.7500, 0.3705, 0.8440)  3 N 2.18-2.33
Pu (0.2500, 0.6295, 0.1560)  3 N 2.18-2.33
Sr (0.2500, 0.1687, 0.1767)  5 N 2.68-2.86
N (0.7500, 0.4277, 0.1187)  3 Pu 2.18-2.33
N (0.7500, 0.8681, 0.1614)  1 Mo 1.92
N (0.2500, 0.5723, 0.8813)  3 Pu 2.18-2.33
N (0.2500, 0.1319, 0.8386)  1 Mo 1.92
N (0.7500, 0.1705, 0.4942)  3 Mo 2.05-2.07

Summary:
Space-group type: No. 11
ΔE_f (raw): -724 meV per atom
DOS at the Fermi energy: 16.2 states/eV/cell

***

DFT (PBE) results for Sr3Pu3MoN8 after structural relaxation.

abc: 6.8296 6.8290 7.1499
angles: 118.54 89.99 120.01
Closest atoms and distances in Å follow each position.
Positions (direct):
Pu (0.0000, 0.5000, 0.5000)  6 N 2.32-2.33
N (0.7530, 0.9684, 0.6840)  1 Mo 2.13, 2 Pu 2.32-2.33
Pu (0.5000, 0.0000, 0.5000)  6 N 2.32-2.33
Pu (0.5000, 0.5000, 0.5000)  6 N 2.32
N (0.7348, 0.4694, 0.7043)  3 Pu 2.32
Sr (0.5000, 0.5000, 0.0000)  6 N 2.65-2.68
N (0.2652, 0.5306, 0.2957)  3 Pu 2.32
N (0.7844, 0.5690, 0.3159)  1 Mo 2.13, 2 Pu 2.32-2.33
N (0.2154, 0.9684, 0.6839)  1 Mo 2.13, 2 Pu 2.32
Mo (0.0000, 0.0000, 0.5000)  6 N 2.13
N (0.2156, 0.4310, 0.6841)  1 Mo 2.13, 2 Pu 2.32-2.33
Sr (0.0000, 0.5000, 0.0000)  6 N 2.65-2.68
N (0.2470, 0.0316, 0.3160)  1 Mo 2.13, 2 Pu 2.32-2.33
N (0.7846, 0.0316, 0.3161)  1 Mo 2.13, 2 Pu 2.32
Sr (0.0000, 0.0000, 0.0000)  6 N 2.65-2.68

Summary:
Space-group type: No. 166
ΔE_f (raw): -897 meV per atom
DOS at the Fermi energy: 20.2 states/eV/cell

***

DFT (PBE) results for SrPuMoN4 after structural relaxation.

abc: 5.9995 5.8875 7.0866
angles: 90.00 107.29 90.00
Closest atoms and distances in Å follow each position.
Positions (direct):
Sr (0.7123, 0.7500, 0.9292)  2 N 2.51-2.58
N (0.4664, 0.7500, 0.1721)  1 Mo 1.87
N (0.0467, 0.9936, 0.3019)  1 Mo 1.90
Pu (0.8042, 0.7500, 0.4552)  6 N 2.26-2.51
Pu (0.1958, 0.2500, 0.5448)  6 N 2.26-2.51
Mo (0.2617, 0.7500, 0.3264)  4 N 1.83-1.90
Sr (0.2877, 0.2500, 0.0708)  2 N 2.51-2.58
N (0.4758, 0.7500, 0.5715)  1 Mo 1.83
N (0.5336, 0.2500, 0.8279)  1 Mo 1.87
N (0.9533, 0.0064, 0.6981)  1 Mo 1.90
N (0.9533, 0.4936, 0.6981)  1 Mo 1.90
N (0.0467, 0.5064, 0.3019)  1 Mo 1.90
Mo (0.7383, 0.2500, 0.6736)  4 N 1.83-1.90
N (0.5242, 0.2500, 0.4285)  1 Mo 1.83

Summary:
Space-group type: No. 11
ΔE_f (raw): -746 meV per atom
DOS at the Fermi energy: 13.5 states/eV/cell

***

DFT (PBE) results for PuTh2MoN4 after structural relaxation.

abc: 3.4369 6.2714 12.0857
angles: 90.00 90.00 105.90
Closest atoms and distances in Å follow each position.
Positions (direct):
Pu (0.1162, 0.2325, 0.7500)  6 N 2.51-2.58
N (0.4647, 0.9294, 0.7500)  2 Mo 2.18
N (0.0000, 0.0000, 0.0000)  4 Th 2.42
N (0.7237, 0.4475, 0.6322)  1 Mo 2.12
Th (0.3676, 0.7352, 0.5496)  6 N 2.42-2.69
Pu (0.8838, 0.7675, 0.2500)  6 N 2.51-2.58
Mo (0.1466, 0.2931, 0.2500)  4 N 2.12-2.18
N (0.5353, 0.0706, 0.2500)  2 Mo 2.18
N (0.2763, 0.5525, 0.1322)  1 Mo 2.12
N (0.7237, 0.4475, 0.8678)  1 Mo 2.12
N (0.0000, 0.0000, 0.5000)  4 Th 2.42
N (0.2763, 0.5525, 0.3678)  1 Mo 2.12
Mo (0.8534, 0.7069, 0.7500)  4 N 2.12-2.18
Th (0.3676, 0.7352, 0.9504)  6 N 2.42-2.69
Th (0.6324, 0.2648, 0.0496)  6 N 2.42-2.69
Th (0.6324, 0.2648, 0.4504)  6 N 2.42-2.69

Summary:
Space-group type: No. 63
ΔE_f (raw): -987 meV per atom
DOS at the Fermi energy: 14.8 states/eV/cell